# 1
A plane-wave DFT calculation with PBE was carried out for a relaxed structure of Zr2TlOsRh.

The structure belongs to space group P4/mmm (No. 123); the cell edges are 5.199, 5.199 and 4.742 Å and the angles 90.00°, 90.00° and 90.00°. The asymmetric unit holds Zr at (0.000, 0.500, 0.000), Tl at (0.000, 0.000, 0.000), Os at (0.500, 0.500, 0.500) and Rh at (0.000, 0.000, 0.500).

The energy relative to the elements is 1876 meV per atom. For the theoretical density, the calculation gives 8.81 g/cm³.

=====

# 2
A plane-wave DFT calculation with PBE was carried out for a relaxed structure of Tm4OsRh.

The structure belongs to space group C2/c (No. 15); the cell edges are 8.861, 12.749 and 6.226 Å and the angles 90.00°, 123.97° and 90.00°. The asymmetric unit holds Tm at (0.128, 0.175, 0.096), Tm at (0.197, 0.437, 0.265), Os at (0.000, 0.000, 0.250) and Rh at (0.000, 0.363, 0.750).

The energy relative to the elements is -533 meV per atom. For the theoretical density, the calculation gives 11.03 g/cm³. The distance to the lowest polymorph of the same formula is 0.0 meV per atom.

=====

# 3
A plane-wave DFT calculation with PBE was carried out for a relaxed structure of Tm8OsRh2.

The structure belongs to space group Cm (No. 8); the cell edges are 8.175, 12.522 and 5.815 Å and the angles 90.00°, 109.55° and 90.00°. The asymmetric unit holds Tm at (0.000, 0.000, 0.000), Tm at (0.066, 0.373, 0.765), Tm at (0.154, 0.127, 0.577), Tm at (0.212, 0.500, 0.358), Tm at (0.354, 0.212, 0.179), Os at (0.354, 0.000, 0.336) and Rh at (0.363, 0.311, 0.680).

The energy relative to the elements is -394 meV per atom. For the theoretical density, the calculation gives 10.35 g/cm³. The distance to the lowest polymorph of the same formula is 68.2 meV per atom.

=====

# 4
A plane-wave DFT calculation with PBE was carried out for a relaxed structure of Tm8OsRh2.

The structure belongs to space group C2/m (No. 12); the cell edges are 16.933, 4.897 and 6.713 Å and the angles 90.00°, 107.73° and 90.00°. The asymmetric unit holds Tm at (0.032, 0.000, 0.295), Tm at (0.094, 0.500, 0.944), Tm at (0.167, 0.500, 0.465), Tm at (0.201, 0.000, 0.811), Os at (0.000, 0.500, 0.500) and Rh at (0.187, 0.000, 0.201).

The energy relative to the elements is -463 meV per atom. For the theoretical density, the calculation gives 10.95 g/cm³. The distance to the lowest polymorph of the same formula is 0.0 meV per atom.

=====

# 5
A plane-wave DFT calculation with PBE was carried out for a relaxed structure of Tm4OsRh3.

The structure belongs to space group P4/mmm (No. 123); the cell edges are 3.378, 3.378 and 13.450 Å and the angles 90.00°, 90.00° and 90.00°. The asymmetric unit holds Tm at (0.000, 0.000, 0.122), Tm at (0.000, 0.000, 0.374), Os at (0.500, 0.500, 0.000), Rh at (0.500, 0.500, 0.254) and Rh at (0.500, 0.500, 0.500).

The energy relative to the elements is -793 meV per atom. For the theoretical density, the calculation gives 12.71 g/cm³.

=====

# 6
A plane-wave DFT calculation with PBE was carried out for a relaxed structure of Tm6OsRh3.

The structure belongs to space group Pnnm (No. 58); the cell edges are 8.162, 11.668 and 4.709 Å and the angles 90.00°, 90.00° and 90.00°. The asymmetric unit holds Tm at (0.001, 0.250, 0.000), Tm at (0.163, 0.085, 0.500), Tm at (0.171, 0.419, 0.500), Os at (0.000, 0.000, 0.000), Rh at (0.000, 0.500, 0.000) and Rh at (0.164, 0.666, 0.500).

The energy relative to the elements is -585 meV per atom. For the theoretical density, the calculation gives 11.20 g/cm³.

=====

# 7
A plane-wave DFT calculation with PBE was carried out for a relaxed structure of TmUOsRh.

The structure belongs to space group F-43m (No. 216); the cell edges are 6.784, 6.784 and 6.784 Å and the angles 90.00°, 90.00° and 90.00°. The asymmetric unit holds Tm at (0.000, 0.000, 0.000), U at (0.000, 0.000, 0.500), Os at (0.250, 0.250, 0.250) and Rh at (0.250, 0.250, 0.750).

The energy relative to the elements is -365 meV per atom. For the theoretical density, the calculation gives 14.90 g/cm³.

=====

# 8
A plane-wave DFT calculation with PBE was carried out for a relaxed structure of YTmOsRh.

The structure belongs to space group F-43m (No. 216); the cell edges are 6.795, 6.795 and 6.795 Å and the angles 90.00°, 90.00° and 90.00°. The asymmetric unit holds Y at (0.000, 0.000, 0.000), Tm at (0.000, 0.000, 0.500), Os at (0.250, 0.250, 0.750) and Rh at (0.250, 0.250, 0.250).

The energy relative to the elements is -505 meV per atom. For the theoretical density, the calculation gives 11.66 g/cm³.

=====

> The highest theoretical density belongs to which entry?

TmUOsRh